Below is an optimized crystal structure of FeCoTe2, with properties calculated at the PBE level.

total magnetic moment = 2.3 μB per cell
space-group type = R-3m, No. 166
formation energy without anion corrections = 0.44 eV per atom

Structure (CIF):
```
data_FeCoTe2
_chemical_formula_sum 'Fe1 Co1 Te2'
_symmetry_space_group_name_H-M 'P 1'
_symmetry_Int_Tables_number 1
_symmetry_space_group_name_Hall 'P 1'
_cell_length_a 8.172
_cell_length_b 8.172
_cell_length_c 8.172
_cell_angle_alpha 25.20
_cell_angle_beta 25.20
_cell_angle_gamma 25.20
loop_
_atom_site_label
_atom_site_fract_x
_atom_site_fract_y
_atom_site_fract_z
Fe1 0.000 0.000 0.000
Co1 0.500 0.500 0.500
Te1 0.397 0.397 0.397
Te2 0.603 0.603 0.603
```


Below is an optimized crystal structure of FeCo2Te, with properties calculated at the PBE level.

total magnetic moment = 11.2 μB per cell
space-group type = I-42d, No. 122
formation energy without anion corrections = 0.50 eV per atom

Structure (CIF):
```
data_FeCo2Te
_chemical_formula_sum 'Fe2 Co4 Te2'
_symmetry_space_group_name_H-M 'P 1'
_symmetry_Int_Tables_number 1
_symmetry_space_group_name_Hall 'P 1'
_cell_length_a 8.733
_cell_length_b 8.733
_cell_length_c 8.733
_cell_angle_alpha 154.39
_cell_angle_beta 154.39
_cell_angle_gamma 36.54
loop_
_atom_site_label
_atom_site_fract_x
_atom_site_fract_y
_atom_site_fract_z
Fe1 0.000 0.000 0.000
Fe2 0.750 0.250 0.500
Co1 0.087 0.625 0.962
Co2 0.375 0.337 0.462
Co3 0.663 0.125 0.038
Co4 0.875 0.913 0.538
Te1 0.250 0.750 0.500
Te2 0.500 0.500 0.000
```


Below is an optimized crystal structure of FeCoTe2, with properties calculated at the PBE level.

total magnetic moment = 2.3 μB per cell
space-group type = R3m, No. 160
formation energy without anion corrections = 0.02 eV per atom

Structure (CIF):
```
data_FeCoTe2
_chemical_formula_sum 'Fe1 Co1 Te2'
_symmetry_space_group_name_H-M 'P 1'
_symmetry_Int_Tables_number 1
_symmetry_space_group_name_Hall 'P 1'
_cell_length_a 6.821
_cell_length_b 6.821
_cell_length_c 6.821
_cell_angle_alpha 32.73
_cell_angle_beta 32.73
_cell_angle_gamma 32.73
loop_
_atom_site_label
_atom_site_fract_x
_atom_site_fract_y
_atom_site_fract_z
Fe1 0.000 0.000 0.000
Co1 0.294 0.294 0.294
Te1 0.562 0.562 0.562
Te2 0.739 0.739 0.739
```


Below is an optimized crystal structure of Fe2CoTe, with properties calculated at the PBE level.

total magnetic moment = 5.9 μB per cell
space-group type = I4/mmm, No. 139
formation energy without anion corrections = 0.21 eV per atom

Structure (CIF):
```
data_Fe2CoTe
_chemical_formula_sum 'Fe2 Co1 Te1'
_symmetry_space_group_name_H-M 'P 1'
_symmetry_Int_Tables_number 1
_symmetry_space_group_name_Hall 'P 1'
_cell_length_a 4.849
_cell_length_b 4.849
_cell_length_c 4.849
_cell_angle_alpha 135.74
_cell_angle_beta 135.74
_cell_angle_gamma 64.38
loop_
_atom_site_label
_atom_site_fract_x
_atom_site_fract_y
_atom_site_fract_z
Fe1 0.250 0.750 0.500
Fe2 0.750 0.250 0.500
Co1 0.000 0.000 0.000
Te1 0.500 0.500 0.000
```


Below is an optimized crystal structure of ThFeCo, with properties calculated at the PBE level.

ΔE_f = -0.14 eV/atom
total magnetic moment = 3.2 μB per cell
space-group type = Cmcm, No. 63

Structure (CIF):
```
data_ThFeCo
_chemical_formula_sum 'Th2 Fe2 Co2'
_symmetry_space_group_name_H-M 'P 1'
_symmetry_Int_Tables_number 1
_symmetry_space_group_name_Hall 'P 1'
_cell_length_a 3.944
_cell_length_b 3.944
_cell_length_c 8.197
_cell_angle_alpha 90.00
_cell_angle_beta 90.00
_cell_angle_gamma 119.95
loop_
_atom_site_label
_atom_site_fract_x
_atom_site_fract_y
_atom_site_fract_z
Th1 0.000 0.000 0.000
Th2 0.000 0.000 0.500
Fe1 0.333 0.667 0.750
Fe2 0.667 0.333 0.250
Co1 0.334 0.666 0.250
Co2 0.666 0.334 0.750
```


Below is an optimized crystal structure of ThFe4Co, with properties calculated at the PBE level.

ΔE_f = -0.08 eV/atom
total magnetic moment = 10.0 μB per cell
space-group type = P-6m2, No. 187

Structure (CIF):
```
data_ThFe4Co
_chemical_formula_sum 'Th1 Fe4 Co1'
_symmetry_space_group_name_H-M 'P 1'
_symmetry_Int_Tables_number 1
_symmetry_space_group_name_Hall 'P 1'
_cell_length_a 5.069
_cell_length_b 5.069
_cell_length_c 4.035
_cell_angle_alpha 90.00
_cell_angle_beta 90.00
_cell_angle_gamma 120.00
loop_
_atom_site_label
_atom_site_fract_x
_atom_site_fract_y
_atom_site_fract_z
Th1 0.000 0.000 0.000
Fe1 0.000 0.500 0.500
Fe2 0.500 0.000 0.500
Fe3 0.500 0.500 0.500
Fe4 0.667 0.333 0.000
Co1 0.333 0.667 0.000
```


Below is an optimized crystal structure of ThFe3Co2, with properties calculated at the PBE level.

ΔE_f = -0.01 eV/atom
total magnetic moment = 17.4 μB per cell
space-group type = Cmcm, No. 63

Structure (CIF):
```
data_ThFe3Co2
_chemical_formula_sum 'Th2 Fe6 Co4'
_symmetry_space_group_name_H-M 'P 1'
_symmetry_Int_Tables_number 1
_symmetry_space_group_name_Hall 'P 1'
_cell_length_a 6.031
_cell_length_b 6.031
_cell_length_c 5.000
_cell_angle_alpha 90.00
_cell_angle_beta 90.00
_cell_angle_gamma 80.85
loop_
_atom_site_label
_atom_site_fract_x
_atom_site_fract_y
_atom_site_fract_z
Th1 0.178 0.822 0.750
Th2 0.822 0.178 0.250
Fe1 0.049 0.597 0.250
Fe2 0.403 0.951 0.250
Fe3 0.448 0.552 0.250
Fe4 0.552 0.448 0.750
Fe5 0.597 0.049 0.750
Fe6 0.951 0.403 0.750
Co1 0.282 0.282 0.000
Co2 0.282 0.282 0.500
Co3 0.718 0.718 0.000
Co4 0.718 0.718 0.500
```


Below is an optimized crystal structure of ThFeCo, with properties calculated at the PBE level.

ΔE_f = -0.14 eV/atom
total magnetic moment = 1.6 μB per cell
space-group type = P-6m2, No. 187

Structure (CIF):
```
data_ThFeCo
_chemical_formula_sum 'Th1 Fe1 Co1'
_symmetry_space_group_name_H-M 'P 1'
_symmetry_Int_Tables_number 1
_symmetry_space_group_name_Hall 'P 1'
_cell_length_a 3.953
_cell_length_b 3.953
_cell_length_c 4.087
_cell_angle_alpha 90.00
_cell_angle_beta 90.00
_cell_angle_gamma 120.00
loop_
_atom_site_label
_atom_site_fract_x
_atom_site_fract_y
_atom_site_fract_z
Th1 0.000 0.000 0.000
Fe1 0.667 0.333 0.500
Co1 0.333 0.667 0.500
```


Below is an optimized crystal structure of ThFe3Co2, with properties calculated at the PBE level.

ΔE_f = -0.10 eV/atom
total magnetic moment = 9.0 μB per cell
space-group type = P6/mmm, No. 191

Structure (CIF):
```
data_ThFe3Co2
_chemical_formula_sum 'Th1 Fe3 Co2'
_symmetry_space_group_name_H-M 'P 1'
_symmetry_Int_Tables_number 1
_symmetry_space_group_name_Hall 'P 1'
_cell_length_a 5.047
_cell_length_b 5.047
_cell_length_c 4.031
_cell_angle_alpha 90.00
_cell_angle_beta 90.00
_cell_angle_gamma 120.00
loop_
_atom_site_label
_atom_site_fract_x
_atom_site_fract_y
_atom_site_fract_z
Th1 0.000 0.000 0.000
Fe1 0.000 0.500 0.500
Fe2 0.500 0.000 0.500
Fe3 0.500 0.500 0.500
Co1 0.333 0.667 0.000
Co2 0.667 0.333 0.000
```


Below is an optimized crystal structure of Th2Fe5Co12, with properties calculated at the PBE level.

ΔE_f = -0.12 eV/atom
total magnetic moment = 27.6 μB per cell
space-group type = R-3m, No. 166

Structure (CIF):
```
data_Th2Fe5Co12
_chemical_formula_sum 'Th2 Fe5 Co12'
_symmetry_space_group_name_H-M 'P 1'
_symmetry_Int_Tables_number 1
_symmetry_space_group_name_Hall 'P 1'
_cell_length_a 6.350
_cell_length_b 6.350
_cell_length_c 6.350
_cell_angle_alpha 82.78
_cell_angle_beta 82.78
_cell_angle_gamma 82.78
loop_
_atom_site_label
_atom_site_fract_x
_atom_site_fract_y
_atom_site_fract_z
Th1 0.157 0.157 0.157
Th2 0.843 0.843 0.843
Fe1 0.000 0.500 0.500
Fe2 0.404 0.404 0.404
Fe3 0.500 0.000 0.500
Fe4 0.500 0.500 0.000
Fe5 0.596 0.596 0.596
Co1 0.155 0.155 0.655
Co2 0.155 0.655 0.155
Co3 0.214 0.500 0.786
Co4 0.214 0.786 0.500
Co5 0.345 0.845 0.845
Co6 0.500 0.214 0.786
Co7 0.500 0.786 0.214
Co8 0.655 0.155 0.155
Co9 0.786 0.214 0.500
Co10 0.786 0.500 0.214
Co11 0.845 0.345 0.845
Co12 0.845 0.845 0.345
```


Below is an optimized crystal structure of ThFe2Co4, with properties calculated at the PBE level.

ΔE_f = -0.08 eV/atom
total magnetic moment = 9.7 μB per cell
space-group type = C2/m, No. 12

Structure (CIF):
```
data_ThFe2Co4
_chemical_formula_sum 'Th1 Fe2 Co4'
_symmetry_space_group_name_H-M 'P 1'
_symmetry_Int_Tables_number 1
_symmetry_space_group_name_Hall 'P 1'
_cell_length_a 5.053
_cell_length_b 5.053
_cell_length_c 4.863
_cell_angle_alpha 118.68
_cell_angle_beta 118.68
_cell_angle_gamma 76.70
loop_
_atom_site_label
_atom_site_fract_x
_atom_site_fract_y
_atom_site_fract_z
Th1 0.000 0.000 0.000
Fe1 0.500 0.500 0.250
Fe2 0.500 0.500 0.750
Co1 0.000 0.395 0.697
Co2 0.000 0.605 0.303
Co3 0.395 0.000 0.697
Co4 0.605 0.000 0.303
```


Below is an optimized crystal structure of ThFeCo2, with properties calculated at the PBE level.

ΔE_f = -0.13 eV/atom
total magnetic moment = 6.4 μB per cell
space-group type = Pmmn, No. 59

Structure (CIF):
```
data_ThFeCo2
_chemical_formula_sum 'Th2 Fe2 Co4'
_symmetry_space_group_name_H-M 'P 1'
_symmetry_Int_Tables_number 1
_symmetry_space_group_name_Hall 'P 1'
_cell_length_a 4.079
_cell_length_b 6.179
_cell_length_c 5.250
_cell_angle_alpha 90.00
_cell_angle_beta 90.00
_cell_angle_gamma 90.00
loop_
_atom_site_label
_atom_site_fract_x
_atom_site_fract_y
_atom_site_fract_z
Th1 0.250 0.250 0.135
Th2 0.750 0.750 0.865
Fe1 0.250 0.750 0.343
Fe2 0.750 0.250 0.657
Co1 0.250 0.049 0.627
Co2 0.250 0.451 0.627
Co3 0.750 0.549 0.373
Co4 0.750 0.951 0.373
```


Q: Which value of total magnetic moment does entry 7 give?
A: 17.4 μB per cell